Below is PrHoAgIr after structural relaxation, with properties calculated at the PBE level.

Cell and atoms, written as POSCAR:
```
PrHoAgIr
1.0
5.068 0.000 0.000
2.534 4.389 0.000
2.534 1.463 4.138
Pr Ir Ho Ag
1 1 1 1
direct
0.500 0.500 0.500 Pr
0.750 0.750 0.750 Ir
0.000 0.000 0.000 Ho
0.250 0.250 0.250 Ag
```

Summary:
Density, Mg/m³: 10.93
VASP energy, eV/atom: -5.76
Total magnetic moment, μB per formula unit: 0.00
Calculated formation energy, eV per atom: -0.49